(1)
First-principles (PBE) data for a relaxed structure of SrYGa, as listed in Alexandria via LeMat-Bulk.

For the energy, the calculation gives -3.991 eV/atom. As for the formation energy: -0.267 eV/atom. For the volume, the calculation gives 29.27 Å³ per atom. The mass density comes out at 4.66 g cm⁻³.

POSCAR file:
```
SrYGa
1.0
4.600 -2.656 0.000
0.000 5.312 0.000
0.000 0.000 7.185
Y Sr Ga
2 2 2
Cartesian
1.533 2.656 5.389
3.067 0.000 1.796
0.000 0.000 0.000
0.000 0.000 3.592
1.533 2.656 1.796
3.067 0.000 5.389
```

(2)
First-principles (PBE) data for a relaxed structure of SrYGa3, as listed in Alexandria via LeMat-Bulk.

For the energy, the calculation gives -3.325 eV/atom. As for the formation energy: 0.120 eV/atom. For the volume, the calculation gives 32.78 Å³ per atom. The mass density comes out at 3.91 g cm⁻³.

POSCAR file:
```
SrYGa3
1.0
5.473 0.000 0.000
0.000 5.473 0.000
0.000 0.000 5.473
Y Sr Ga
1 1 3
Cartesian
0.000 0.000 0.000
2.736 2.736 2.736
0.000 2.736 0.000
0.000 0.000 2.736
2.736 0.000 0.000
```

(3)
First-principles (PBE) data for a relaxed structure of SrYGa, as listed in Alexandria via LeMat-Bulk.

For the energy, the calculation gives -4.000 eV/atom. As for the formation energy: -0.276 eV/atom. For the volume, the calculation gives 31.57 Å³ per atom. The mass density comes out at 4.32 g cm⁻³.

POSCAR file:
```
SrYGa
1.0
3.742 0.000 0.000
0.000 3.742 0.000
-1.871 -1.871 6.764
Y Sr Ga
1 1 1
Cartesian
0.000 0.000 3.955
0.000 0.000 0.322
1.871 1.871 2.487
```

(4)
First-principles (PBE) data for a relaxed structure of SrYGa, as listed in Alexandria via LeMat-Bulk.

For the energy, the calculation gives -4.088 eV/atom. As for the formation energy: -0.364 eV/atom. For the volume, the calculation gives 30.97 Å³ per atom. The mass density comes out at 4.40 g cm⁻³.

POSCAR file:
```
SrYGa
1.0
8.343 0.000 0.000
0.000 5.084 0.000
0.000 0.000 8.763
Y Sr Ga
4 4 4
Cartesian
1.228 1.271 3.663
2.944 3.813 8.044
7.115 3.813 5.100
5.399 1.271 0.719
0.183 1.271 7.225
3.988 3.813 2.844
8.160 3.813 1.538
4.354 1.271 5.919
6.596 1.271 3.500
5.918 3.813 7.881
1.747 3.813 5.263
2.425 1.271 0.882
```

(5)
First-principles (PBE) data for a relaxed structure of Sr2Y2Ga, as listed in Alexandria via LeMat-Bulk.

For the energy, the calculation gives -3.794 eV/atom. As for the formation energy: 0.070 eV/atom. For the volume, the calculation gives 37.63 Å³ per atom. The mass density comes out at 3.73 g cm⁻³.

POSCAR file:
```
Sr2Y2Ga
1.0
-2.286 -1.020 7.470
-5.226 -5.412 -2.338
4.181 -4.335 0.688
Y Sr Ga
4 4 2
Cartesian
-5.208 -4.928 0.604
-5.354 -4.405 4.785
-2.304 -1.504 4.528
-2.159 -2.027 0.347
-1.788 -5.957 0.039
-3.783 -7.349 3.393
-1.543 -4.810 5.781
0.452 -3.417 2.427
0.000 0.000 0.000
-3.756 -3.216 2.566
```

(6)
First-principles (PBE) data for a relaxed structure of SrYGa4, as listed in Alexandria via LeMat-Bulk.

For the energy, the calculation gives -3.814 eV/atom. As for the formation energy: -0.439 eV/atom. For the volume, the calculation gives 21.30 Å³ per atom. The mass density comes out at 5.92 g cm⁻³.

POSCAR file:
```
SrYGa4
1.0
-3.411 -2.680 3.626
-4.138 -3.327 -1.944
0.364 -5.610 0.604
Y Sr Ga
1 1 4
Cartesian
0.000 0.000 0.000
-1.796 -2.904 0.571
-4.677 -4.450 1.127
-2.417 -5.596 2.406
-4.494 -7.266 1.430
-2.782 -5.921 -0.390
```

(7)
First-principles (PBE) data for a relaxed structure of SrYGa, as listed in Alexandria via LeMat-Bulk.

For the energy, the calculation gives -3.895 eV/atom. As for the formation energy: -0.170 eV/atom. For the volume, the calculation gives 32.03 Å³ per atom. The mass density comes out at 4.26 g cm⁻³.

POSCAR file:
```
SrYGa
1.0
5.663 -0.009 0.006
-0.923 6.073 0.014
0.922 -2.386 5.584
Y Sr Ga
2 2 2
Cartesian
2.495 3.532 4.418
2.496 1.817 1.814
0.755 -0.149 4.976
4.266 5.168 1.475
5.309 2.538 3.206
3.581 0.706 4.412
```

(8)
First-principles (PBE) data for a relaxed structure of SrY3Ga, as listed in Alexandria via LeMat-Bulk.

For the energy, the calculation gives -3.620 eV/atom. As for the formation energy: 1.200 eV/atom. For the volume, the calculation gives 35.82 Å³ per atom. The mass density comes out at 3.93 g cm⁻³.

POSCAR file:
```
SrY3Ga
1.0
-3.320 2.158 -4.012
-2.037 -5.144 -1.081
-4.075 0.812 3.809
Y Sr Ga
3 1 1
Cartesian
-1.018 -2.572 -0.541
-2.037 0.406 1.905
-1.660 1.079 -2.006
0.000 0.000 0.000
-4.716 -1.087 -0.642
```

(9)
First-principles (PBE) data for a relaxed structure of SrYGa, as listed in Alexandria via LeMat-Bulk.

For the energy, the calculation gives -3.894 eV/atom. As for the formation energy: -0.170 eV/atom. For the volume, the calculation gives 33.19 Å³ per atom. The mass density comes out at 4.11 g cm⁻³.

POSCAR file:
```
SrYGa
1.0
-3.286 -1.420 1.389
5.134 -2.714 4.005
-1.028 4.090 7.044
Y Sr Ga
2 2 2
Cartesian
3.958 1.210 10.761
3.464 -1.472 6.848
-1.135 0.546 8.703
1.617 -0.358 3.682
-0.540 1.286 5.568
1.979 -0.716 9.424
```

(10)
First-principles (PBE) data for a relaxed structure of SrYGa, as listed in Alexandria via LeMat-Bulk.

For the energy, the calculation gives -3.984 eV/atom. As for the formation energy: -0.260 eV/atom. For the volume, the calculation gives 30.85 Å³ per atom. The mass density comes out at 4.42 g cm⁻³.

POSCAR file:
```
SrYGa
1.0
6.642 0.000 0.000
0.000 6.806 0.000
0.000 0.000 8.189
Y Sr Ga
4 4 4
Cartesian
1.661 1.702 2.046
1.659 5.105 6.140
4.980 5.105 6.143
4.982 1.702 2.048
3.324 1.702 6.978
6.638 5.105 2.884
3.317 5.105 1.210
0.003 1.702 5.304
0.000 0.000 0.000
3.321 3.403 4.094
3.321 0.000 4.094
0.000 3.403 0.000
```

(11)
First-principles (PBE) data for a relaxed structure of SrYGa, as listed in Alexandria via LeMat-Bulk.

For the energy, the calculation gives -3.857 eV/atom. As for the formation energy: -0.132 eV/atom. For the volume, the calculation gives 33.80 Å³ per atom. The mass density comes out at 4.03 g cm⁻³.

POSCAR file:
```
SrYGa
1.0
4.900 -1.773 -0.491
0.961 -5.139 0.247
1.420 -2.607 -4.311
Y Sr Ga
1 1 1
Cartesian
1.820 -2.380 -1.139
5.461 -7.140 -3.416
0.000 0.000 0.000
```

(12)
First-principles (PBE) data for a relaxed structure of SrYGa, as listed in Alexandria via LeMat-Bulk.

For the energy, the calculation gives -4.005 eV/atom. As for the formation energy: -0.281 eV/atom. For the volume, the calculation gives 32.56 Å³ per atom. The mass density comes out at 4.19 g cm⁻³.

POSCAR file:
```
SrYGa
1.0
-4.185 5.471 2.043
1.360 -1.517 6.838
3.221 2.100 0.975
Y Sr Ga
2 2 2
Cartesian
1.215 1.537 1.060
-0.879 4.263 2.104
-0.432 5.632 5.748
0.010 1.423 5.289
-2.119 3.591 7.642
1.731 3.415 3.377
```

(13)
First-principles (PBE) data for a relaxed structure of SrYGa, as listed in Alexandria via LeMat-Bulk.

For the energy, the calculation gives -3.970 eV/atom. As for the formation energy: -0.246 eV/atom. For the volume, the calculation gives 30.17 Å³ per atom. The mass density comes out at 4.52 g cm⁻³.

POSCAR file:
```
SrYGa
1.0
8.379 0.000 0.000
0.000 3.564 0.000
0.000 0.000 12.123
Y Sr Ga
4 4 4
Cartesian
3.467 0.891 4.380
0.722 2.673 10.441
4.912 2.673 7.743
7.657 0.891 1.681
6.984 0.891 5.003
5.585 2.673 11.065
1.396 2.673 7.119
2.794 0.891 1.058
7.278 0.891 8.558
5.291 2.673 2.497
1.102 2.673 3.564
3.088 0.891 9.626
```

(14)
First-principles (PBE) data for a relaxed structure of SrYGa, as listed in Alexandria via LeMat-Bulk.

For the energy, the calculation gives -4.009 eV/atom. As for the formation energy: -0.284 eV/atom. For the volume, the calculation gives 33.59 Å³ per atom. The mass density comes out at 4.06 g cm⁻³.

POSCAR file:
```
SrYGa
1.0
4.143 -0.001 0.000
-2.126 13.165 -0.051
0.000 1.150 3.691
Y Sr Ga
2 2 2
Cartesian
1.715 7.529 2.460
-0.361 10.294 3.622
-0.299 4.243 3.484
-0.359 13.579 2.599
1.711 10.953 1.392
-0.358 6.256 0.832
```

(15)
First-principles (PBE) data for a relaxed structure of SrYGa, as listed in Alexandria via LeMat-Bulk.

For the energy, the calculation gives -4.002 eV/atom. As for the formation energy: -0.278 eV/atom. For the volume, the calculation gives 31.40 Å³ per atom. The mass density comes out at 4.34 g cm⁻³.

POSCAR file:
```
SrYGa
1.0
-0.227 4.191 -4.203
0.377 -5.621 -3.545
-4.827 -0.682 -3.394
Y Sr Ga
2 2 2
Cartesian
-3.800 -1.003 -9.070
-1.821 -2.036 -4.038
-4.573 0.404 -4.997
-1.425 2.178 -4.566
-3.760 -2.527 -6.387
-1.859 -0.513 -6.721
```

(16)
First-principles (PBE) data for a relaxed structure of SrYGa, as listed in Alexandria via LeMat-Bulk.

For the energy, the calculation gives -4.073 eV/atom. As for the formation energy: -0.349 eV/atom. For the volume, the calculation gives 32.27 Å³ per atom. The mass density comes out at 4.22 g cm⁻³.

POSCAR file:
```
SrYGa
1.0
5.029 0.001 0.001
2.511 8.057 -0.017
-0.001 1.579 4.775
Y Sr Ga
2 2 2
Cartesian
1.513 1.387 2.860
4.029 0.598 0.474
4.026 6.009 1.331
1.512 4.822 4.373
6.537 7.859 3.368
4.028 2.973 2.338
```

(17)
First-principles (PBE) data for a relaxed structure of SrYGa, as listed in Alexandria via LeMat-Bulk.

For the energy, the calculation gives -3.964 eV/atom. As for the formation energy: -0.240 eV/atom. For the volume, the calculation gives 33.43 Å³ per atom. The mass density comes out at 4.08 g cm⁻³.

POSCAR file:
```
SrYGa
1.0
-1.761 0.637 3.247
4.270 -6.830 5.394
4.882 3.192 0.102
Y Sr Ga
2 2 2
Cartesian
4.245 -0.946 4.382
3.063 -3.835 6.318
0.299 -0.503 4.175
7.009 -4.277 6.524
5.080 -1.771 7.174
2.228 -3.012 3.526
```

(18)
First-principles (PBE) data for a relaxed structure of SrYGa, as listed in Alexandria via LeMat-Bulk.

For the energy, the calculation gives -4.011 eV/atom. As for the formation energy: -0.286 eV/atom. For the volume, the calculation gives 31.01 Å³ per atom. The mass density comes out at 4.39 g cm⁻³.

POSCAR file:
```
SrYGa
1.0
8.151 0.016 -0.015
1.604 3.249 -0.010
-2.366 -0.833 7.040
Y Sr Ga
2 2 2
Cartesian
1.636 1.525 4.344
1.682 1.492 0.223
4.950 -0.111 4.093
6.518 3.144 0.460
7.753 0.521 2.261
3.716 2.514 2.292
```

(19)
First-principles (PBE) data for a relaxed structure of SrY2Ga, as listed in Alexandria via LeMat-Bulk.

For the energy, the calculation gives -4.392 eV/atom. As for the formation energy: 0.017 eV/atom. For the volume, the calculation gives 33.29 Å³ per atom. The mass density comes out at 4.18 g cm⁻³.

POSCAR file:
```
SrY2Ga
1.0
-3.396 1.670 -8.084
-0.320 -8.761 -1.675
-4.947 -3.676 -3.609
Y Sr Ga
4 2 2
Cartesian
-3.181 -1.078 -5.643
-2.080 -6.079 -3.480
-5.124 -5.981 -6.474
-6.941 -8.398 -11.138
0.000 0.000 0.000
-5.101 -2.776 -8.286
-1.858 -3.546 -4.879
-3.562 -7.992 -5.082
```

(20)
First-principles (PBE) data for a relaxed structure of SrYGa, as listed in Alexandria via LeMat-Bulk.

For the energy, the calculation gives -3.976 eV/atom. As for the formation energy: -0.251 eV/atom. For the volume, the calculation gives 33.83 Å³ per atom. The mass density comes out at 4.03 g cm⁻³.

POSCAR file:
```
SrYGa
1.0
5.133 0.000 0.000
0.000 9.376 -0.028
2.567 1.418 4.213
Y Sr Ga
2 2 2
Cartesian
3.138 5.266 0.595
5.705 7.361 1.453
3.139 4.014 4.142
5.705 10.371 3.568
3.138 7.837 2.856
5.705 4.640 2.367
```